Li5Al3Ag2: optimized geometry, PBE.

abc: 5.034 10.526 10.526
angles: 39.86 69.80 69.80
Atoms (fractional coordinates):
Al 0.094 0.232 0.493
Al 0.406 0.507 0.768
Al 0.750 0.066 0.934
Al 0.594 0.493 0.232
Al 0.906 0.768 0.507
Al 0.250 0.934 0.066
Ag 0.513 0.809 0.345
Ag 0.487 0.191 0.655
Ag 0.987 0.655 0.191
Ag 0.013 0.345 0.809
Li 0.836 0.856 0.845
Li 0.664 0.155 0.144
Li 0.250 0.561 0.439
Li 0.750 0.439 0.561
Li 0.789 0.547 0.905
Li 0.711 0.095 0.453
Li 0.164 0.144 0.155
Li 0.289 0.905 0.547
Li 0.211 0.453 0.095
Li 0.336 0.845 0.856

Computed properties:
**Energy of formation**: -79 meV/atom
**ρ**: 3.310 Mg/m³
**Volume**: 16.6 Å³/atom
**Space group**: C2/c (15)



LiAl4Ag7: optimized geometry, PBE.

abc: 4.633 7.926 6.683
angles: 81.90 69.72 73.01
Atoms (fractional coordinates):
Ag 0.220 0.150 0.410
Ag 0.346 0.594 0.713
Ag 0.780 0.850 0.590
Ag 0.936 0.343 0.786
Ag 0.064 0.657 0.214
Ag 0.654 0.406 0.287
Ag 0.500 0.000 0.000
Li 0.000 0.000 0.000
Al 0.694 0.654 0.959
Al 0.306 0.346 0.041
Al 0.419 0.800 0.362
Al 0.581 0.200 0.638

Computed properties:
**Energy of formation**: 5 meV/atom
**ρ**: 6.569 Mg/m³
**Volume**: 18.3 Å³/atom
**Space group**: C2/m (12)



Li3Al6Ag: optimized geometry, PBE.

abc: 6.692 5.523 5.523
angles: 57.85 80.03 80.03
Atoms (fractional coordinates):
Li 0.336 0.087 0.087
Li 0.000 0.000 0.000
Li 0.664 0.913 0.913
Al 0.088 0.625 0.625
Al 0.708 0.420 0.923
Al 0.912 0.375 0.375
Al 0.708 0.923 0.420
Al 0.292 0.077 0.580
Al 0.292 0.580 0.077
Ag 0.500 0.500 0.500

Computed properties:
**Energy of formation**: -10 meV/atom
**ρ**: 2.849 Mg/m³
**Volume**: 16.9 Å³/atom
**Space group**: C2/m (12)



Li12Al3Ag: optimized geometry, PBE.

abc: 4.022 4.022 16.945
angles: 90.00 90.00 90.00
Atoms (fractional coordinates):
Li 0.500 0.000 0.373
Li 0.500 0.000 0.880
Li 0.000 0.500 0.373
Li 0.500 0.000 0.627
Li 0.500 0.500 0.500
Li 0.500 0.500 0.754
Li 0.000 0.500 0.120
Li 0.000 0.500 0.627
Li 0.500 0.500 0.246
Li 0.500 0.000 0.120
Li 0.500 0.500 0.000
Li 0.000 0.500 0.880
Al 0.000 0.000 0.247
Al 0.000 0.000 0.500
Al 0.000 0.000 0.753
Ag 0.000 0.000 0.000

Computed properties:
**Energy of formation**: -59 meV/atom
**ρ**: 1.649 Mg/m³
**Volume**: 17.1 Å³/atom
**Space group**: P4/mmm (123)



Li12Al2Ag5: optimized geometry, PBE.

abc: 5.306 7.487 11.249
angles: 124.26 90.00 110.75
Atoms (fractional coordinates):
Li 0.930 0.355 0.528
Li 0.959 0.918 0.198
Li 0.041 0.082 0.802
Li 0.469 0.939 0.360
Li 0.999 0.497 0.810
Li 0.502 0.503 0.190
Li 0.425 0.355 0.528
Li 0.531 0.061 0.640
Li 0.001 0.503 0.190
Li 0.498 0.497 0.810
Li 0.070 0.645 0.472
Li 0.575 0.645 0.472
Ag 0.347 0.694 0.063
Ag 0.653 0.306 0.937
Ag 0.611 0.221 0.265
Ag 0.000 0.000 0.500
Ag 0.389 0.779 0.735
Al 0.249 0.000 0.000
Al 0.751 0.000 0.000

Computed properties:
**Energy of formation**: -59 meV/atom
**ρ**: 3.367 Mg/m³
**Volume**: 17.6 Å³/atom
**Space group**: C2/m (12)



Li8Al2Ag: optimized geometry, PBE.

abc: 5.180 7.539 7.539
angles: 39.67 80.69 80.69
Atoms (fractional coordinates):
Ag 0.000 0.000 0.000
Li 0.461 0.107 0.107
Li 0.937 0.425 0.909
Li 0.539 0.893 0.893
Li 0.063 0.575 0.091
Li 0.937 0.909 0.425
Li 0.259 0.502 0.502
Li 0.741 0.498 0.498
Li 0.063 0.091 0.575
Al 0.438 0.700 0.700
Al 0.562 0.300 0.300

Computed properties:
**Energy of formation**: -92 meV/atom
**ρ**: 1.949 Mg/m³
**Volume**: 16.8 Å³/atom
**Space group**: C2/m (12)



Li8AlAg6: optimized geometry, PBE.

abc: 7.519 7.519 7.136
angles: 58.21 58.21 60.00
Atoms (fractional coordinates):
Li 0.130 0.416 0.628
Li 0.584 0.174 0.372
Li 0.870 0.584 0.372
Li 0.276 0.276 0.172
Li 0.174 0.870 0.372
Li 0.724 0.724 0.828
Li 0.826 0.130 0.628
Li 0.416 0.826 0.628
Ag 0.627 0.925 0.132
Ag 0.684 0.373 0.868
Ag 0.925 0.316 0.132
Ag 0.316 0.627 0.132
Ag 0.075 0.684 0.868
Ag 0.373 0.075 0.868
Al 0.000 0.000 0.000

Computed properties:
**Energy of formation**: -88 meV/atom
**ρ**: 4.370 Mg/m³
**Volume**: 18.5 Å³/atom
**Space group**: R-3 (148)



Li2Al3Ag3: optimized geometry, PBE.

abc: 5.134 5.134 5.134
angles: 85.40 85.41 94.59
Atoms (fractional coordinates):
Al 0.287 0.713 0.000
Al 0.713 0.000 0.713
Al 0.000 0.287 0.287
Ag 0.815 0.500 0.815
Ag 0.500 0.185 0.185
Ag 0.185 0.815 0.500
Li 0.709 0.709 0.291
Li 0.291 0.291 0.709

Computed properties:
**Energy of formation**: -149 meV/atom
**ρ**: 5.188 Mg/m³
**Volume**: 16.7 Å³/atom
**Space group**: R32 (155)



LiAl2Ag2: optimized geometry, PBE.

abc: 7.773 7.773 2.895
angles: 90.00 90.00 90.00
Atoms (fractional coordinates):
Al 0.878 0.622 0.000
Al 0.378 0.878 0.000
Al 0.122 0.378 0.000
Al 0.622 0.122 0.000
Li 0.500 0.500 0.000
Li 0.000 0.000 0.000
Ag 0.178 0.678 0.500
Ag 0.678 0.822 0.500
Ag 0.822 0.322 0.500
Ag 0.322 0.178 0.500

Computed properties:
**Energy of formation**: -133 meV/atom
**ρ**: 5.253 Mg/m³
**Volume**: 17.5 Å³/atom
**Space group**: P4/mbm (127)



Li4AlAg: optimized geometry, PBE.

abc: 4.545 5.367 8.356
angles: 70.71 90.00 89.99
Atoms (fractional coordinates):
Al 0.250 0.375 0.751
Al 0.750 0.625 0.249
Li 0.250 0.450 0.085
Li 0.750 0.699 0.582
Li 0.250 0.301 0.418
Li 0.750 0.051 0.917
Li 0.750 0.550 0.915
Li 0.250 0.949 0.083
Li 0.250 0.794 0.417
Li 0.750 0.206 0.583
Ag 0.250 0.876 0.749
Ag 0.750 0.124 0.251

Computed properties:
**Energy of formation**: -175 meV/atom
**ρ**: 2.808 Mg/m³
**Volume**: 16.0 Å³/atom
**Space group**: P2_1/m (11)



Li2Al4Ag3: optimized geometry, PBE.

abc: 4.019 4.936 8.489
angles: 73.20 90.29 66.15
Atoms (fractional coordinates):
Al 0.334 0.335 0.109
Al 0.003 0.994 0.335
Al 0.666 0.665 0.891
Al 0.997 0.006 0.665
Li 0.336 0.328 0.777
Li 0.664 0.672 0.223
Ag 0.671 0.659 0.573
Ag 0.000 0.000 0.000
Ag 0.329 0.341 0.427

Computed properties:
**Energy of formation**: -130 meV/atom
**ρ**: 5.065 Mg/m³
**Volume**: 16.2 Å³/atom
**Space group**: P-1 (2)



Li6AlAg5: optimized geometry, PBE.

abc: 4.270 7.203 7.508
angles: 118.67 106.52 90.00
Atoms (fractional coordinates):
Al 0.000 0.000 0.000
Li 0.500 0.267 0.000
Li 0.832 0.574 0.664
Li 0.168 0.426 0.336
Li 0.500 0.733 0.000
Li 0.168 0.910 0.336
Li 0.832 0.090 0.664
Ag 0.326 0.326 0.653
Ag 0.347 0.847 0.694
Ag 0.000 0.500 0.000
Ag 0.674 0.674 0.347
Ag 0.653 0.153 0.306

Computed properties:
**Energy of formation**: -192 meV/atom
**ρ**: 5.267 Mg/m³
**Volume**: 16.0 Å³/atom
**Space group**: Immm (71)